Entry 1:
An optimized crystal structure of Ce3Pr2NdSb6, computed with GGA-PBE.

Results
For the calculated density, the calculation gives 6.67 g/cm³. The calculation puts the calculated volume at 392.8 Å³ per cell. The calculation puts the size of the total moment at 2.324 Bohr magnetons per cell. As for the crystal system: monoclinic. The calculation puts the raw formation energy at -13.46 eV/f.u.

extended XYZ file:
```
12
Lattice="3.918 -6.785 0.000 3.918 6.785 0.000 -2.612 0.000 7.390" Properties=species:S:1:pos:R:3 pbc="T T T"
Ce 0.000 0.000 0.000
Ce 3.918 2.267 0.000
Ce 3.918 -2.267 0.000
Pr 2.612 4.526 3.695
Pr 2.612 -4.526 3.695
Nd 2.612 0.000 3.695
Sb 1.311 2.254 1.815
Sb 0.009 0.000 5.579
Sb 1.311 -2.254 1.815
Sb 3.913 2.254 5.575
Sb 5.214 0.000 1.810
Sb 3.913 -2.254 5.575
```

---

Entry 2:
An optimized crystal structure of CePrNdSc, computed with GGA-PBE.

Results
For the calculated density, the calculation gives 6.14 g/cm³. The calculation puts the calculated volume at 127.2 Å³ per cell. The calculation puts the size of the total moment at 2.744 Bohr magnetons per cell. As for the crystal system: cubic.

extended XYZ file:
```
4
Lattice="0.000 3.992 3.992 3.992 0.000 3.992 3.992 3.992 0.000" Properties=species:S:1:pos:R:3 pbc="T T T"
Ce 0.000 0.000 0.000
Pr 5.988 5.988 5.988
Nd 1.996 1.996 1.996
Sc 3.992 3.992 3.992
```

---

Entry 3:
An optimized crystal structure of Ce2Pr3NdSe6, computed with GGA-PBE.

Results
For the calculated density, the calculation gives 6.79 g/cm³. The calculation puts the calculated volume at 323.2 Å³ per cell. The calculation puts the size of the total moment at 1.871 Bohr magnetons per cell. As for the crystal system: monoclinic. The calculation puts the raw formation energy at -22.11 eV/f.u.

extended XYZ file:
```
12
Lattice="3.665 -6.353 0.000 3.665 6.353 0.000 -2.449 0.000 6.941" Properties=species:S:1:pos:R:3 pbc="T T T"
Ce 3.665 4.238 0.000
Ce 3.665 -4.238 0.000
Pr -1.224 0.000 3.470
Pr 2.440 2.081 3.470
Pr 2.440 -2.081 3.470
Nd 3.665 0.000 0.000
Se -0.012 2.133 5.231
Se 1.203 0.000 1.693
Se -0.012 -2.133 5.231
Se 4.893 2.133 1.710
Se 3.678 0.000 5.247
Se 4.893 -2.133 1.710
```

---

Number 1: electronic total energy -5.8601 eV/atom. Number 2: electronic total energy -5.2545 eV/atom. Number 3: electronic total energy -6.1658 eV/atom.